No. 1
! Tb7TlAg4, relaxed, DFT PBE; values from VASP
&SYSTEM
  ibrav = 0, nat = 12, ntyp = 3
/
ATOMIC_SPECIES
Tb 158.93 Tb.upf
Ag 107.87 Ag.upf
Tl 204.38 Tl.upf
CELL_PARAMETERS angstrom
-4.422 0.800 -3.552
-0.890 -7.218 -5.137
-6.015 -4.666 1.818
ATOMIC_POSITIONS angstrom
Tb -4.913 -2.966 -3.790
Ag -6.448 -4.915 -2.318
Tb -6.414 -8.118 -3.081
Tb -2.211 0.400 -1.776
Ag -4.879 -6.169 -4.553
Tb -4.067 -3.186 -0.274
Ag -9.310 -8.683 -4.222
Ag -2.016 -2.401 -2.649
Tb -2.358 -5.417 -2.904
Tb -8.969 -5.667 -3.967
Tb -7.260 -7.898 -6.597
Tl 0.000 0.000 0.000
! Crystal system   monoclinic
! Formation energy   -1.66 kcal/mol of atoms
! Total DFT energy (no corrections)   -3.9205 eV per atom

---

No. 2
! Mg2GaPt9, relaxed, DFT PBE; values from VASP
&SYSTEM
  ibrav = 0, nat = 12, ntyp = 3
/
ATOMIC_SPECIES
Pt 195.08 Pt.upf
Ga 69.72 Ga.upf
Mg 24.30 Mg.upf
CELL_PARAMETERS angstrom
3.955 0.000 0.000
0.000 3.955 0.000
0.000 0.000 11.873
ATOMIC_POSITIONS angstrom
Pt 0.000 1.977 5.937
Ga 0.000 0.000 0.000
Pt 0.000 1.977 1.958
Pt 0.000 1.977 9.915
Mg 0.000 0.000 3.947
Pt 1.977 0.000 5.937
Pt 1.977 0.000 9.915
Mg 0.000 0.000 7.926
Pt 1.977 1.977 3.949
Pt 1.977 0.000 1.958
Pt 1.977 1.977 0.000
Pt 1.977 1.977 7.924
! Crystal system   tetragonal
! Formation energy   -12.64 kcal/mol of atoms
! Total DFT energy (no corrections)   -5.5965 eV per atom

---

No. 3
! ScSiAs, relaxed, DFT PBE; values from VASP
&SYSTEM
  ibrav = 0, nat = 3, ntyp = 3
/
ATOMIC_SPECIES
Si 28.09 Si.upf
Sc 44.96 Sc.upf
As 74.92 As.upf
CELL_PARAMETERS angstrom
4.322 0.000 0.000
-2.161 3.743 0.000
0.000 0.000 3.482
ATOMIC_POSITIONS angstrom
Si 0.000 2.495 2.901
Sc 2.161 1.248 1.161
As 0.000 0.000 2.903
! Crystal system   hexagonal
! Total DFT energy (no corrections)   -5.7808 eV per atom

---

No. 4
! BaMgAs2Br, relaxed, DFT PBE; values from VASP
&SYSTEM
  ibrav = 0, nat = 5, ntyp = 4
/
ATOMIC_SPECIES
Br 79.90 Br.upf
Mg 24.30 Mg.upf
As 74.92 As.upf
Ba 137.33 Ba.upf
CELL_PARAMETERS angstrom
5.029 0.000 0.000
0.000 5.029 0.000
0.000 0.000 5.791
ATOMIC_POSITIONS angstrom
Br 0.000 0.000 2.895
Mg 0.000 0.000 0.000
As 0.000 2.514 0.000
As 2.514 0.000 0.000
Ba 2.514 2.514 2.895
! E above lowest polymorph   0.000 eV/atom
! Crystal system   tetragonal
! Total DFT energy (no corrections)   -3.5430 eV per atom

---

No. 5
! DyNbBrO4, relaxed, DFT PBE; values from VASP
&SYSTEM
  ibrav = 0, nat = 14, ntyp = 4
/
ATOMIC_SPECIES
Br 79.90 Br.upf
O 16.00 O.upf
Dy 162.50 Dy.upf
Nb 92.91 Nb.upf
CELL_PARAMETERS angstrom
6.943 0.970 -0.330
3.215 6.230 -0.330
1.739 1.232 6.651
ATOMIC_POSITIONS angstrom
Br 11.171 7.917 3.804
O 6.183 4.382 4.961
O 7.835 5.554 2.711
O 4.267 1.290 0.606
Dy 7.468 5.293 0.559
Dy 4.429 3.139 5.432
Br 0.727 0.515 2.188
O 2.631 3.599 0.606
O 5.714 4.050 1.031
O 9.267 4.834 5.385
Nb 7.655 5.426 4.544
O 4.062 2.879 3.280
Nb 4.242 3.007 1.448
O 7.630 7.143 5.385
! Crystal system   monoclinic
! Total DFT energy (no corrections)   -7.6887 eV per atom

---

No. 6
! Pm3SbAs2, relaxed, DFT PBE; values from VASP
&SYSTEM
  ibrav = 0, nat = 12, ntyp = 3
/
ATOMIC_SPECIES
Sb 121.76 Sb.upf
As 74.92 As.upf
Pm 145.00 Pm.upf
CELL_PARAMETERS angstrom
-4.799 -0.692 -0.136
3.163 -5.672 3.702
-0.988 5.140 8.719
ATOMIC_POSITIONS angstrom
Sb 0.100 -1.449 3.831
As -3.115 3.307 6.593
Pm -2.265 -1.553 1.336
As 0.491 -4.530 5.692
Pm -0.358 0.330 10.949
Pm -0.576 2.556 7.323
As -0.494 2.570 4.359
Sb -2.724 0.226 8.454
As 0.000 0.000 0.000
Pm 0.023 -1.653 7.584
Pm -2.646 0.430 4.700
Pm -2.047 -3.780 4.961
! Crystal system   orthorhombic
! Total DFT energy (no corrections)   -5.5778 eV per atom

---

No. 7
! Tm5PuN6, relaxed, DFT PBE; values from VASP
&SYSTEM
  ibrav = 0, nat = 12, ntyp = 3
/
ATOMIC_SPECIES
Tm 168.93 Tm.upf
N 14.01 N.upf
Pu 244.00 Pu.upf
CELL_PARAMETERS angstrom
5.840 0.140 0.886
1.432 4.950 2.885
0.097 0.053 5.905
ATOMIC_POSITIONS angstrom
Tm 0.510 1.669 2.928
N 5.474 3.831 2.838
Tm 3.224 0.934 4.854
N 2.328 2.958 3.863
N 2.834 4.609 6.824
N 4.536 0.533 2.853
N 5.041 2.184 5.814
Pu 0.000 0.000 0.000
Tm 3.636 2.545 1.886
N 1.798 1.259 0.933
Tm 4.145 4.209 4.823
Tm 1.019 3.334 5.863
! Crystal system   monoclinic
! Total DFT energy (no corrections)   -8.9330 eV per atom

---

No. 8
! Mg4SiAs, relaxed, DFT PBE; values from VASP
&SYSTEM
  ibrav = 0, nat = 6, ntyp = 3
/
ATOMIC_SPECIES
Si 28.09 Si.upf
As 74.92 As.upf
Mg 24.30 Mg.upf
CELL_PARAMETERS angstrom
-3.410 -4.176 -1.583
-4.173 -1.655 3.380
-5.335 1.098 -1.378
ATOMIC_POSITIONS angstrom
Si -9.688 -3.549 0.314
As 0.000 0.000 0.000
Mg -6.549 -3.861 -0.634
Mg -7.511 -1.227 -0.531
Mg -6.930 -2.602 1.845
Mg -4.846 -1.775 0.157
! Crystal system   cubic
! Total DFT energy (no corrections)   -2.4660 eV per atom